No. 1
12
Lattice="4.1961 0.0000 0.0000 0.0000 4.1961 0.0000 0.0000 0.0000 12.7982" Properties=species:S:1:pos:R:3 comment="Al2InGa9 (PBE-GGA, optimized geometry)" dft_energy_ev_per_cell=-37.0 formation_enthalpy_0k_kcal_per_mol_atoms=0.91 total_magnetization_mub_per_atom=0.0000 pbc="T T T"
Al 0.0000 0.0000 2.0602
Al 0.0000 0.0000 10.7380
In 0.0000 0.0000 6.3991
Ga 0.0000 2.0981 0.0000
Ga 0.0000 2.0981 4.0524
Ga 0.0000 2.0981 8.7458
Ga 2.0981 0.0000 0.0000
Ga 2.0981 0.0000 4.0524
Ga 2.0981 0.0000 8.7458
Ga 2.0981 2.0981 2.0387
Ga 2.0981 2.0981 6.3991
Ga 2.0981 2.0981 10.7595

No. 2
12
Lattice="3.2108 0.0000 0.0000 -1.6054 2.7807 0.0000 0.0000 0.0000 34.3194" Properties=species:S:1:pos:R:3 comment="BaYTa2 (PBE-GGA, optimized geometry)" dft_energy_ev_per_cell=-84.9 formation_enthalpy_0k_kcal_per_mol_atoms=21.86 total_magnetization_mub_per_atom=0.0003 pbc="T T T"
Ba 0.0000 0.0000 0.0000
Ba 0.0000 1.8538 22.8796
Ba 1.6054 0.9269 11.4398
Y 0.0000 0.0000 17.1597
Y 0.0000 1.8538 5.7199
Y 1.6054 0.9269 28.5994
Ta 0.0000 0.0000 8.3247
Ta 0.0000 0.0000 25.9946
Ta 0.0000 1.8538 14.5549
Ta 0.0000 1.8538 31.2043
Ta 1.6054 0.9269 3.1151
Ta 1.6054 0.9269 19.7645

No. 3
11
Lattice="2.6359 1.5219 5.5819 -2.6359 1.5219 5.5819 0.0000 -3.0437 5.5819" Properties=species:S:1:pos:R:3 comment="K2ZnH2F6 (PBE-GGA, optimized geometry)" dft_energy_ev_per_cell=-44.6 total_magnetization_mub_per_atom=0.0000 pbc="T T T"
K 0.0000 0.0000 3.7078
K 0.0000 0.0000 13.0380
Zn 0.0000 0.0000 0.0000
H 0.0000 0.0000 6.7999
H 0.0000 0.0000 9.9458
F 0.0000 -1.3827 6.8269
F -1.1975 0.6914 6.8269
F -1.1975 -0.6914 9.9189
F 1.1975 0.6914 6.8269
F 1.1975 -0.6914 9.9189
F 0.0000 1.3827 9.9189